1.
Below is a relaxed structure of NaZrAlS4, with properties calculated at the PBE level.

The structure in POSCAR format:
```
NaZrAlS4
1.0
7.739 0.000 0.000
3.869 6.482 0.244
3.869 2.207 6.100
Na Zr Al S
2 2 2 8
Direct
0.000 0.000 0.000 Na
0.000 0.500 0.500 Na
0.500 0.000 0.500 Zr
0.000 0.000 0.500 Zr
0.604 0.646 0.146 Al
0.396 0.354 0.854 Al
0.744 0.758 0.755 S
0.256 0.745 0.742 S
0.744 0.255 0.258 S
0.256 0.242 0.245 S
0.247 0.765 0.265 S
0.723 0.765 0.265 S
0.277 0.235 0.735 S
0.753 0.235 0.735 S
```

Calculated values
Formation energy without anion corrections ... -1.200 eV per atom
Uncorrected energy ... -77.04 eV per cell
Crystal system ... orthorhombic

=====

2.
Below is a relaxed structure of NaAl2Sb2, with properties calculated at the PBE level.

The structure in POSCAR format:
```
NaAl2Sb2
1.0
7.926 0.000 0.000
0.000 7.926 0.000
0.000 0.000 3.780
Sb Al Na
4 4 2
Direct
0.167 0.667 0.500 Sb
0.667 0.833 0.500 Sb
0.833 0.333 0.500 Sb
0.333 0.167 0.500 Sb
0.376 0.876 0.000 Al
0.876 0.624 0.000 Al
0.624 0.124 0.000 Al
0.124 0.376 0.000 Al
0.000 0.000 0.000 Na
0.500 0.500 0.000 Na
```

Calculated values
Formation energy without anion corrections ... -0.002 eV per atom
Uncorrected energy ... -34.12 eV per cell
Crystal system ... tetragonal

=====

3.
Below is a relaxed structure of NaAlSb2, with properties calculated at the PBE level.

The structure in POSCAR format:
```
NaAlSb2
1.0
3.759 0.000 0.000
1.879 3.255 0.000
1.879 1.085 8.583
Sb Al Na
2 1 1
Direct
0.263 0.263 0.211 Sb
0.737 0.737 0.789 Sb
0.000 0.000 0.000 Al
0.500 0.500 0.500 Na
```

Calculated values
Formation energy without anion corrections ... -0.115 eV per atom
Uncorrected energy ... -13.77 eV per cell
Crystal system ... trigonal

=====

4.
Below is a relaxed structure of Na2AlSb2, with properties calculated at the PBE level.

The structure in POSCAR format:
```
Na2AlSb2
1.0
9.147 0.000 0.000
0.000 9.147 0.000
0.000 0.000 3.128
Sb Al Na
4 2 4
Direct
0.320 0.820 0.000 Sb
0.820 0.680 0.000 Sb
0.680 0.180 0.000 Sb
0.180 0.320 0.000 Sb
0.000 0.000 0.000 Al
0.500 0.500 0.000 Al
0.119 0.619 0.500 Na
0.619 0.881 0.500 Na
0.881 0.381 0.500 Na
0.381 0.119 0.500 Na
```

Calculated values
Formation energy without anion corrections ... -0.030 eV per atom
Uncorrected energy ... -29.55 eV per cell
Crystal system ... tetragonal

=====

5.
Below is a relaxed structure of Na2Al2Sb3, with properties calculated at the PBE level.

The structure in POSCAR format:
```
Na2Al2Sb3
1.0
7.293 0.000 0.000
0.000 14.224 -0.009
0.000 -0.081 15.563
Na Al Sb
16 16 24
Direct
0.055 0.439 0.899 Na
0.445 0.439 0.399 Na
0.945 0.561 0.101 Na
0.555 0.561 0.601 Na
0.035 0.920 0.614 Na
0.535 0.080 0.886 Na
0.965 0.080 0.386 Na
0.465 0.920 0.114 Na
0.063 0.648 0.521 Na
0.563 0.352 0.979 Na
0.937 0.352 0.479 Na
0.437 0.648 0.021 Na
0.456 0.135 0.488 Na
0.956 0.865 0.012 Na
0.544 0.865 0.512 Na
0.044 0.135 0.988 Na
0.710 0.687 0.839 Al
0.772 0.407 0.238 Al
0.728 0.407 0.738 Al
0.228 0.593 0.762 Al
0.266 0.812 0.332 Al
0.766 0.188 0.168 Al
0.734 0.188 0.668 Al
0.234 0.812 0.832 Al
0.293 0.095 0.228 Al
0.793 0.905 0.272 Al
0.707 0.905 0.772 Al
0.207 0.095 0.728 Al
0.210 0.313 0.661 Al
0.790 0.687 0.339 Al
0.290 0.313 0.161 Al
0.272 0.593 0.262 Al
0.547 0.842 0.919 Sb
0.530 0.028 0.668 Sb
0.970 0.028 0.168 Sb
0.470 0.972 0.332 Sb
0.030 0.972 0.832 Sb
0.047 0.158 0.581 Sb
0.453 0.158 0.081 Sb
0.953 0.842 0.419 Sb
0.048 0.663 0.904 Sb
0.548 0.337 0.596 Sb
0.952 0.337 0.096 Sb
0.452 0.663 0.404 Sb
0.175 0.751 0.170 Sb
0.675 0.249 0.330 Sb
0.825 0.249 0.830 Sb
0.325 0.751 0.670 Sb
0.525 0.521 0.843 Sb
0.025 0.479 0.657 Sb
0.475 0.479 0.157 Sb
0.975 0.521 0.343 Sb
0.774 0.746 0.174 Sb
0.274 0.254 0.326 Sb
0.226 0.254 0.826 Sb
0.726 0.746 0.674 Sb
```

Calculated values
Formation energy without anion corrections ... -0.291 eV per atom
Uncorrected energy ... -196.22 eV per cell
Crystal system ... monoclinic

=====

6.
Below is a relaxed structure of Na5Al2Sb5, with properties calculated at the PBE level.

The structure in POSCAR format:
```
Na5Al2Sb5
1.0
-0.139 -4.481 -2.254
-0.112 -0.545 6.675
-10.773 1.950 -3.213
Na Al Sb
5 2 5
Direct
0.500 0.000 0.500 Na
0.646 0.291 0.027 Na
0.710 0.420 0.363 Na
0.290 0.580 0.637 Na
0.354 0.709 0.973 Na
0.097 0.195 0.801 Al
0.903 0.805 0.199 Al
0.072 0.144 0.409 Sb
0.731 0.462 0.800 Sb
0.269 0.538 0.200 Sb
0.928 0.856 0.591 Sb
0.000 0.000 0.000 Sb
```

Calculated values
Formation energy without anion corrections ... -0.186 eV per atom
Uncorrected energy ... -36.92 eV per cell
Crystal system ... monoclinic

=====

7.
Below is a relaxed structure of Na3Al2Sb4, with properties calculated at the PBE level.

The structure in POSCAR format:
```
Na3Al2Sb4
1.0
0.584 -9.014 -1.206
4.092 -8.074 1.055
-2.599 -4.408 5.867
Na Al Sb
3 2 4
Direct
0.146 0.146 0.465 Na
0.854 0.854 0.535 Na
0.000 0.000 0.000 Na
0.674 0.674 0.053 Al
0.326 0.326 0.947 Al
0.507 0.507 0.315 Sb
0.207 0.207 0.810 Sb
0.493 0.493 0.685 Sb
0.793 0.793 0.190 Sb
```

Calculated values
Formation energy without anion corrections ... -0.263 eV per atom
Uncorrected energy ... -30.30 eV per cell
Crystal system ... monoclinic

=====

8.
Below is a relaxed structure of Na3Al2Sb4, with properties calculated at the PBE level.

The structure in POSCAR format:
```
Na3Al2Sb4
1.0
-0.575 2.889 -2.997
-6.715 -2.175 2.137
3.762 6.630 5.671
Na Al Sb
3 2 4
Direct
0.604 0.208 0.688 Na
0.000 0.000 0.000 Na
0.396 0.792 0.312 Na
0.712 0.423 0.357 Al
0.288 0.577 0.643 Al
0.699 0.398 0.059 Sb
0.301 0.602 0.941 Sb
0.901 0.802 0.611 Sb
0.099 0.198 0.389 Sb
```

Calculated values
Formation energy without anion corrections ... -0.223 eV per atom
Uncorrected energy ... -29.94 eV per cell
Crystal system ... monoclinic